## Cs4Rb3As (PBE-GGA)

Data for a relaxed structure of Cs4Rb3As.

POSCAR file:
```
Cs4Rb3As
1.0
9.807 0.000 0.000
0.000 11.310 0.000
0.000 0.000 13.908
Cs Rb As
8 6 2
Cartesian
4.946 0.000 4.530
7.465 9.059 0.000
2.341 7.906 6.954
4.861 5.655 2.424
2.341 3.404 6.954
4.946 0.000 9.377
7.465 2.251 0.000
4.861 5.655 11.484
9.675 5.655 11.498
0.132 0.000 9.363
9.675 5.655 2.409
7.358 5.655 6.954
0.132 0.000 4.544
2.448 0.000 0.000
7.328 5.655 0.000
2.479 0.000 6.954
```

## Properties
Magnetization in μB per formula unit: 0.00
Density of states at the Fermi level in states/eV/f.u.: 6.50
V in Å³/cell: 1542.6
Crystal system: orthorhombic
Formation enthalpy at 0 K in eV per atom: -0.11